Crystalline Er4NiPd3 at its relaxed geometry. Source: the Open Quantum Materials Database, functional PBE-GGA.

space-group type: No. 6
raw total energy: -5.75 eV per atom
energy relative to the elements: -0.8303 eV/atom
size of the total moment: 0.0 μB/f.u.

Cell: 5.4986 4.5011 6.9039 Å, 90.00 90.58 90.00°
Fractional positions:
Er: 0.0000 0.0000 0.0000
Er: 0.2151 0.0000 0.5106
Er: 0.4955 0.5000 0.1385
Er: 0.7223 0.5000 0.6451
Ni: 0.2135 0.5000 0.7840
Pd: 0.0097 0.5000 0.2798
Pd: 0.5013 0.0000 0.8625
Pd: 0.7039 0.0000 0.3649


Crystalline Sc2NbCo at its relaxed geometry. Source: the Open Quantum Materials Database, functional PBE-GGA.

space-group type: No. 216
raw total energy: -7.27 eV per atom
energy relative to the elements: 0.1941 eV/atom
size of the total moment: 0.3 μB/f.u.

Cell: 4.5905 4.5905 4.5905 Å, 60.00 60.00 60.00°
Fractional positions:
Sc: 0.0000 0.0000 0.0000
Sc: 0.2500 0.2500 0.2500
Nb: 0.5000 0.5000 0.5000
Co: 0.7500 0.7500 0.7500


Crystalline CdTePtO at its relaxed geometry. Source: the Open Quantum Materials Database, functional PBE-GGA.

space-group type: No. 29
raw total energy: -4.20 eV per atom
ΔE to the lowest computed polymorph: 54.6 meV/atom
size of the total moment: 0.0 μB/f.u.

Cell: 6.2872 8.0744 5.8860 Å, 90.00 90.00 90.00°
Fractional positions:
Cd: 0.2499 0.0845 0.0000
Cd: 0.2501 0.0845 0.5000
Cd: 0.7499 0.9155 0.0000
Cd: 0.7501 0.9155 0.5000
Te: 0.0371 0.6393 0.2518
Te: 0.4629 0.6393 0.7518
Te: 0.5371 0.3607 0.2518
Te: 0.9629 0.3607 0.7518
Pt: 0.0342 0.6730 0.7515
Pt: 0.4658 0.6730 0.2515
Pt: 0.5342 0.3270 0.7515
Pt: 0.9658 0.3270 0.2515
O: 0.0467 0.9402 0.7501
O: 0.4533 0.9402 0.2501
O: 0.5467 0.0598 0.7501
O: 0.9533 0.0598 0.2501


Crystalline AlFeCuMo at its relaxed geometry. Source: the Open Quantum Materials Database, functional PBE-GGA.

space-group type: No. 216
raw total energy: -6.71 eV per atom
ΔE to the lowest computed polymorph: 0.0 meV/atom
size of the total moment: 0.0 μB/f.u.

Cell: 4.1806 4.1806 4.1806 Å, 60.00 60.00 60.00°
Fractional positions:
Al: 0.0000 0.0000 0.0000
Fe: 0.7500 0.7500 0.7500
Cu: 0.2500 0.2500 0.2500
Mo: 0.5000 0.5000 0.5000